Na2AgI2 | Alexandria | GGA-PBE | optimized geometry; energy relative to the elements, uncorrected = -0.54 eV per atom; VASP energy = -11.27 eV/f.u.; magnetic moment = 0.000 μB per atom; Fermi-level density of states = 0.758 states/eV/atom; distance to the lowest polymorph of the same formula = 0.0 meV/atom
1.0
8.7228 0.0000 0.0000
0.0000 8.7228 0.0000
0.0000 0.0000 4.1473
I Na Ag
4 4 2
Direct
0.1636 0.6636 0.5000
0.6636 0.8364 0.5000
0.8364 0.3364 0.5000
0.3364 0.1636 0.5000
0.3563 0.8563 0.0000
0.8563 0.6437 0.0000
0.6437 0.1437 0.0000
0.1437 0.3563 0.0000
0.0000 0.0000 0.0000
0.5000 0.5000 0.0000